VASP calculation (PBE) on an optimized crystal structure of SmLuZrAl.

The structure in extended XYZ format:
```
4
Lattice="5.169 0.000 0.000 2.584 4.476 0.000 2.584 1.492 4.220" Properties=species:S:1:pos:R:3 pbc="T T T"
Lu 0.000 0.000 0.000
Sm 7.753 4.476 3.165
Zr 2.584 1.492 1.055
Al 5.169 2.984 2.110
```

As for the formation enthalpy at 0 K: -0.028 eV per atom. The calculation puts the uncorrected energy at -21.64 eV per cell. As for the crystal system: cubic. The mass density comes out at 7.5 g/cm³. The size of the total moment comes out at 0.00 μB per formula unit.